(1)
First-principles (PBE) data for a geometry-optimized K2NiPb structure, as listed in Alexandria via LeMat-Bulk.

Output
calculated volume = 164.50 Å³/cell
density of states at the Fermi level = 0.6751 states/eV per atom
calculated formation energy = 0.121 eV per atom
total DFT energy (no corrections) = -11.2 eV/f.u.

a = 4.5318 Å, b = 4.5318 Å, c = 9.5947 Å
α = 76.71°, β = 76.71°, γ = 59.99°
Last column: nearest neighbours and their distance in Å.
Atoms (fractional coordinates):
1 Ni 0.4583 0.4583 0.6253  3 Pb 2.62
2 K 0.2119 0.2119 0.3578  3 Pb 3.60, 3 Ni 3.60
3 K 0.0380 0.0380 0.8920  3 Ni 3.59-3.60, 3 Pb 3.60
4 Pb 0.7917 0.7917 0.6249  3 Ni 2.62

(2)
First-principles (PBE) data for a geometry-optimized CaFe2Se structure, as listed in Alexandria via LeMat-Bulk.

Output
relative energy among the computed polymorphs = 292 meV/atom
calculated volume = 72.94 Å³/cell
density of states at the Fermi level = 0.8191 states/eV per atom
formation energy without anion corrections = 0.075 eV/atom
total DFT energy (no corrections) = -22.1 eV/f.u.

a = 3.8924 Å, b = 3.8864 Å, c = 4.8215 Å
α = 90.00°, β = 90.00°, γ = 90.00°
Last column: nearest neighbours and their distance in Å.
Atoms (fractional coordinates):
1 Ca 0.0000 0.5000 0.5000  4 Se 2.75
2 Fe 0.0000 0.0000 0.0000  4 Fe 2.75
3 Se 0.5000 0.0000 0.5000  4 Ca 2.75
4 Fe 0.5000 0.5000 0.0000  4 Fe 2.75

(3)
First-principles (PBE) data for a geometry-optimized Na3Cd4In4 structure, as listed in Alexandria via LeMat-Bulk.

Output
relative energy among the computed polymorphs = 0 meV/atom
calculated volume = 281.54 Å³/cell
density of states at the Fermi level = 0.3662 states/eV per atom
calculated formation energy = -0.097 eV per atom
total DFT energy (no corrections) = -19.6 eV/f.u.

a = 3.4569 Å, b = 5.1456 Å, c = 16.1361 Å
α = 80.81°, β = 83.63°, γ = 90.02°
Last column: nearest neighbours and their distance in Å.
Atoms (fractional coordinates):
1 Cd 0.2668 0.2668 0.4648  4 In 2.99-3.16, 4 Cd 3.28-3.31
2 In 0.3172 0.8146 0.3682  5 Cd 2.93-3.16
3 Na 0.1410 0.6397 0.7216  6 In 3.39-3.42, 6 Cd 3.41-3.46, 2 Na 3.46
4 In 0.5524 0.5461 0.9065  2 Cd 2.94, 1 In 2.96
5 Cd 0.7332 0.7332 0.5352  4 In 2.99-3.16, 4 Cd 3.28-3.31
6 In 0.4476 0.4539 0.0935  2 Cd 2.94, 1 In 2.96
7 Na 0.8590 0.3604 0.2784  6 In 3.39-3.42, 6 Cd 3.41-3.46, 2 Na 3.46
8 Na 0.0000 0.0000 0.0000  4 Cd 3.37-3.38, 8 In 3.43-3.44, 2 Na 3.46
9 Cd 0.4020 0.9085 0.1831  3 In 2.93-2.94
10 Cd 0.5980 0.0915 0.8169  3 In 2.93-2.94
11 In 0.6828 0.1854 0.6318  5 Cd 2.93-3.16

(4)
First-principles (PBE) data for a geometry-optimized LiAc2Pb3 structure, as listed in Alexandria via LeMat-Bulk.

Output
relative energy among the computed polymorphs = 34 meV/atom
calculated volume = 197.52 Å³/cell
density of states at the Fermi level = 0.7253 states/eV per atom
calculated formation energy = -0.406 eV per atom
total DFT energy (no corrections) = -23.7 eV/f.u.

a = 4.6445 Å, b = 4.9493 Å, c = 8.5927 Å
α = 90.00°, β = 90.00°, γ = 90.00°
Last column: nearest neighbours and their distance in Å.
Atoms (fractional coordinates):
1 Pb 0.5000 0.0000 0.2027  2 Li 2.66
2 Pb 0.5000 0.0000 0.8484  3 Pb 3.04-3.10
3 Ac 0.0000 0.5000 0.9882  10 Pb 3.60-3.86, 2 Li 3.65
4 Ac 0.0000 0.0000 0.5135  8 Pb 3.54-3.70, 4 Li 3.79
5 Pb 0.5000 0.5000 0.6311  1 Li 2.71
6 Li 0.5000 0.5000 0.3161  3 Pb 2.66-2.71